Record 1
Below is an optimized crystal structure of CaB2H8, with properties calculated at the PBEsol level.

Lattice parameters (Å, degrees): 7.2239 8.4254 12.7667 90.00 90.00 90.00
Positions (direct):
H: 0.2702 0.3993 0.4787
H: 0.4147 0.2769 0.8974
H: 0.4406 0.5324 0.7856
H: 0.4931 0.4990 0.6329
H: 0.6927 0.6412 0.2910
H: 0.8170 0.8137 0.4670
H: 0.5776 0.8327 0.7692
H: 0.9224 0.3327 0.2308
H: 0.0069 0.9990 0.3671
H: 0.0776 0.6673 0.7692
H: 0.2298 0.8993 0.5213
H: 0.6927 0.1412 0.2090
H: 0.9224 0.8327 0.2692
H: 0.8170 0.3137 0.0330
H: 0.0069 0.4990 0.1329
H: 0.9931 0.5010 0.8671
H: 0.7298 0.1007 0.9787
H: 0.1927 0.3588 0.2090
H: 0.9406 0.9676 0.7856
H: 0.0776 0.1673 0.7308
H: 0.3073 0.8588 0.7910
H: 0.1830 0.6863 0.9670
H: 0.7298 0.6007 0.5213
H: 0.1927 0.8588 0.2910
H: 0.9147 0.7231 0.6026
H: 0.0853 0.2769 0.3974
H: 0.4406 0.0324 0.7144
H: 0.4147 0.7769 0.6026
H: 0.4224 0.1673 0.2308
H: 0.5069 0.5010 0.3671
H: 0.8073 0.6412 0.7910
H: 0.9147 0.2231 0.8974
H: 0.9406 0.4676 0.7144
H: 0.7702 0.1007 0.4787
H: 0.0078 0.8634 0.9624
H: 0.9931 0.0010 0.6329
H: 0.3170 0.6863 0.4670
H: 0.5594 0.4676 0.2144
H: 0.9922 0.1366 0.0376
H: 0.0594 0.0324 0.2144
H: 0.5069 0.0010 0.1329
H: 0.5776 0.3327 0.7308
H: 0.9922 0.6366 0.4624
H: 0.6830 0.8137 0.9670
H: 0.5078 0.1366 0.5376
H: 0.5853 0.7231 0.1026
H: 0.3170 0.1863 0.0330
H: 0.7702 0.6007 0.0213
H: 0.0853 0.7769 0.1026
H: 0.2298 0.3993 0.9787
H: 0.4224 0.6673 0.2692
H: 0.4931 0.9990 0.8671
H: 0.3073 0.3588 0.7090
H: 0.6830 0.3137 0.5330
H: 0.5078 0.6366 0.9624
H: 0.0078 0.3634 0.5376
H: 0.5853 0.2231 0.3974
H: 0.4922 0.3634 0.0376
H: 0.0594 0.5324 0.2856
H: 0.8073 0.1412 0.7090
H: 0.2702 0.8993 0.0213
H: 0.4922 0.8634 0.4624
H: 0.1830 0.1863 0.5330
H: 0.5594 0.9676 0.2856
B: 0.9555 0.0688 0.7158
B: 0.1382 0.3080 0.4871
B: 0.6382 0.1920 0.4871
B: 0.6382 0.6920 0.0129
B: 0.9555 0.5688 0.7842
B: 0.0445 0.4312 0.2158
B: 0.5445 0.0688 0.2158
B: 0.3618 0.8080 0.5129
B: 0.4555 0.9312 0.7842
B: 0.4555 0.4312 0.7158
B: 0.1382 0.8080 0.0129
B: 0.8618 0.1920 0.9871
B: 0.8618 0.6920 0.5129
B: 0.3618 0.3080 0.9871
B: 0.5445 0.5688 0.2842
B: 0.0445 0.9312 0.2842
Ca: 0.6880 0.9303 0.6152
Ca: 0.6880 0.4303 0.8848
Ca: 0.1880 0.0697 0.8848
Ca: 0.3120 0.0697 0.3848
Ca: 0.3120 0.5697 0.1152
Ca: 0.1880 0.5697 0.6152
Ca: 0.8120 0.9303 0.1152
Ca: 0.8120 0.4303 0.3848

raw total energy	-4.194	eV/atom
offset from the most stable computed form	0.015	eV/atom
total magnetic moment	0.000	μB/atom

***

Record 2
Below is an optimized crystal structure of GaCu2AgW, with properties calculated at the PBEsol level.

Lattice parameters (Å, degrees): 4.4409 4.4409 4.4922 90.00 90.00 90.00
Each line ends with the local moment (μB).
Positions (direct):
Ag: 0.0000 0.0000 0.0000  0.00
W: 0.5000 0.5000 0.5000  0.11
Cu: 0.0000 0.5000 0.0000  0.00
Cu: 0.5000 0.0000 0.0000  0.00
Ga: 0.0000 0.0000 0.5000  0.00

raw total energy	-4.199	eV/atom
total magnetic moment	0.024	μB/atom
energy of formation	1.63	eV/atom

***

Record 3
Below is an optimized crystal structure of YIrSeBr2, with properties calculated at the PBEsol level.

Lattice parameters (Å, degrees): 5.2969 5.2969 5.5595 90.00 90.00 90.00
Each line ends with the local moment (μB).
Positions (direct):
Br: 0.5000 0.0000 0.0000  0.03
Br: 0.0000 0.5000 0.0000  0.03
Y: 0.0000 0.0000 0.0000  0.01
Se: 0.0000 0.0000 0.5000  0.00
Ir: 0.5000 0.5000 0.5000  2.17

raw total energy	-4.493	eV/atom
formation energy without anion corrections	0.354	eV per atom
offset from the most stable computed form	0.553	eV/atom
total magnetic moment	0.514	μB/atom

***

Record 4
Below is an optimized crystal structure of TaAl2As, with properties calculated at the PBEsol level.

Lattice parameters (Å, degrees): 2.8458 2.8458 8.3577 90.00 90.00 99.57
Positions (direct):
As: 0.5000 0.5000 0.5000
Al: 0.0000 0.0000 0.2431
Al: 0.0000 0.0000 0.7569
Ta: 0.5000 0.5000 0.0000

raw total energy	-6.488	eV/atom
total magnetic moment	0.000	μB/atom
energy of formation	-0.03	eV/atom

***

Record 5
Below is an optimized crystal structure of Sr3C4, with properties calculated at the PBEsol level.

Lattice parameters (Å, degrees): 5.5276 5.5276 5.5276 90.00 90.00 90.00
Each line ends with the local moment (μB).
Positions (direct):
C: 0.5000 0.5000 0.0000  1.11
C: 0.0000 0.5000 0.5000  1.11
C: 0.5000 0.0000 0.5000  1.11
C: 0.0000 0.0000 0.0000  0.75
Sr: 0.5000 0.0000 0.0000  0.18
Sr: 0.0000 0.0000 0.5000  0.18
Sr: 0.0000 0.5000 0.0000  0.18

raw total energy	-4.110	eV/atom
total magnetic moment	1.413	μB/atom
energy of formation	2.19	eV/atom

***

Record 6
Below is an optimized crystal structure of LaInBr2, with properties calculated at the PBEsol level.

Lattice parameters (Å, degrees): 3.7649 5.4180 5.9712 100.62 90.00 110.33
Positions (direct):
La: 0.5000 0.0000 0.0000
Br: 0.7748 0.5496 0.7760
Br: 0.2252 0.4504 0.2240
In: 0.0000 0.0000 0.5000

raw total energy	-4.131	eV/atom
formation energy without anion corrections	-1.114	eV per atom
offset from the most stable computed form	0.000	eV/atom
total magnetic moment	0.000	μB/atom